A.
Compound: KLiPb
Source: Alexandria
Functional: PBE-GGA
Structure: optimized geometry

Calculated values
density of states at the Fermi level	1.42	states/eV/f.u.
M_tot	0.00	Bohr magnetons per cell
crystal system	orthorhombic
density	4279	kg/m3

extended XYZ file:
```
3
Lattice="-1.7017 2.3427 6.1626 1.7017 -2.3427 6.1626 1.7017 2.3427 -6.1626" Properties=species:S:1:pos:R:3 pbc="T T T"
K 0.0000 0.0000 0.0000
Li 0.0000 0.0000 9.0092
Pb 0.0000 0.0000 3.6322
```

=====

B.
Compound: KLiPb
Source: Alexandria
Functional: PBE-GGA
Structure: optimized geometry

Calculated values
density of states at the Fermi level	3.93	states/eV/f.u.
M_tot	0.51	Bohr magnetons per cell
crystal system	cubic
density	4009	kg/m3

extended XYZ file:
```
3
Lattice="0.0000 3.7432 3.7432 3.7432 0.0000 3.7432 3.7432 3.7432 0.0000" Properties=species:S:1:pos:R:3 pbc="T T T"
K 0.0000 0.0000 0.0000
Li 1.8716 1.8716 1.8716
Pb 3.7432 3.7432 3.7432
```

=====

C.
Compound: KLiPb
Source: Alexandria
Functional: PBE-GGA
Structure: optimized geometry

Calculated values
density of states at the Fermi level	2.39	states/eV/f.u.
M_tot	0.00	Bohr magnetons per cell
crystal system	trigonal
density	4118	kg/m3

extended XYZ file:
```
3
Lattice="3.8444 0.0000 0.0000 -1.9222 3.3293 0.0000 0.0000 0.0000 7.9781" Properties=species:S:1:pos:R:3 pbc="T T T"
K 0.0000 0.0000 0.0000
Li 1.9222 1.1098 3.1367
Pb 0.0000 2.2195 5.0813
```

=====

Stability order, top to bottom: A, C, B

=====

A.
Compound: KLiPb
Source: Alexandria
Functional: PBE-GGA
Structure: optimized geometry

Calculated values
density of states at the Fermi level	2.08	states/eV/f.u.
M_tot	0.00	Bohr magnetons per cell
crystal system	trigonal
density	4532	kg/m3

extended XYZ file:
```
3
Lattice="5.5559 0.0000 0.0000 -2.7780 4.8116 0.0000 0.0000 0.0000 3.4707" Properties=species:S:1:pos:R:3 pbc="T T T"
K 0.0000 0.0000 0.0000
Li 2.7780 1.6039 1.6789
Pb 0.0000 3.2077 1.7535
```

=====

B.
Compound: KLiPb
Source: Alexandria
Functional: PBE-GGA
Structure: optimized geometry

Calculated values
density of states at the Fermi level	1.35	states/eV/f.u.
M_tot	0.00	Bohr magnetons per cell
crystal system	orthorhombic
density	4318	kg/m3

extended XYZ file:
```
6
Lattice="2.4884 -6.5989 0.0000 2.4884 6.5989 0.0000 0.0000 0.0000 5.9314" Properties=species:S:1:pos:R:3 pbc="T T T"
K 2.4884 3.6831 4.4485
K 2.4884 -3.6831 1.4828
Li 2.4884 0.0000 0.0000
Li 2.4884 0.0000 2.9657
Pb 2.4884 5.7790 1.4828
Pb 2.4884 -5.7790 4.4485
```

=====

Stability order, top to bottom: B, A

=====

A.
Compound: KLiPb
Source: Alexandria
Functional: PBE-GGA
Structure: optimized geometry

Calculated values
density of states at the Fermi level	4.22	states/eV/f.u.
M_tot	0.52	Bohr magnetons per cell
crystal system	cubic
density	3423	kg/m3

extended XYZ file:
```
3
Lattice="0.0000 3.9455 3.9455 3.9455 0.0000 3.9455 3.9455 3.9455 0.0000" Properties=species:S:1:pos:R:3 pbc="T T T"
K 0.0000 0.0000 0.0000
Li 1.9727 1.9727 1.9727
Pb 5.9182 5.9182 5.9182
```

=====

B.
Compound: KLiPb
Source: Alexandria
Functional: PBE-GGA
Structure: optimized geometry

Calculated values
density of states at the Fermi level	1.65	states/eV/f.u.
M_tot	0.00	Bohr magnetons per cell
crystal system	orthorhombic
density	4473	kg/m3

extended XYZ file:
```
6
Lattice="-3.2387 3.3066 4.3895 3.2387 -3.3066 4.3895 3.2387 3.3066 -4.3895" Properties=species:S:1:pos:R:3 pbc="T T T"
K 0.0000 1.6533 1.1123
K 3.2387 1.6533 3.2772
Li 1.6194 1.6533 -2.1947
Li 1.6194 -1.6533 2.1947
Pb 3.2387 0.0000 0.0000
Pb 0.0000 0.0000 4.3895
```

=====

Stability order, top to bottom: B, A

=====

A.
Compound: K2LiPb2
Source: Alexandria
Functional: PBE-GGA
Structure: optimized geometry

Calculated values
density of states at the Fermi level	4.76	states/eV/f.u.
M_tot	0.00	Bohr magnetons per cell
crystal system	tetragonal
density	4533	kg/m3

extended XYZ file:
```
10
Lattice="7.8756 0.0000 0.0000 0.0000 7.8756 0.0000 0.0000 0.0000 5.9012" Properties=species:S:1:pos:R:3 pbc="T T T"
K 1.3590 2.5788 0.0000
K 2.5788 6.5166 0.0000
K 5.2968 1.3590 0.0000
K 6.5166 5.2968 0.0000
Li 0.0000 0.0000 2.9506
Li 3.9378 3.9378 2.9506
Pb 1.0857 5.0235 2.9506
Pb 2.8521 1.0857 2.9506
Pb 5.0235 6.7899 2.9506
Pb 6.7899 2.8521 2.9506
```

=====

B.
Compound: K2LiPb2
Source: Alexandria
Functional: PBE-GGA
Structure: optimized geometry

Calculated values
density of states at the Fermi level	2.64	states/eV/f.u.
M_tot	0.00	Bohr magnetons per cell
crystal system	tetragonal
density	4279	kg/m3

extended XYZ file:
```
10
Lattice="10.4370 0.0000 0.0000 0.0000 10.4370 0.0000 0.0000 0.0000 3.5593" Properties=species:S:1:pos:R:3 pbc="T T T"
K 2.0050 3.2135 0.0000
K 3.2135 8.4320 0.0000
K 7.2235 2.0050 0.0000
K 8.4320 7.2235 0.0000
Li 0.0000 0.0000 0.0000
Li 5.2185 5.2185 0.0000
Pb 1.0890 6.3075 1.7797
Pb 4.1295 1.0890 1.7797
Pb 6.3075 9.3480 1.7797
Pb 9.3480 4.1295 1.7797
```

=====

Stability order, top to bottom: A, B